1.
## ReIrSe2 (PBE-GGA)

Data for crystalline ReIrSe2 at its relaxed geometry.

Unit cell a=5.879 b=5.879 c=5.879 alpha=151.31 beta=135.71 gamma=53.62
Sites, in units of the cell vectors:
Re  0.000  0.000  0.000
Ir  0.791  0.291  0.500
Se  0.239  0.739  0.500
Se  0.544  0.544  0.000

Output
SG: No. 44
Offset from the most stable computed form: 469 meV/atom
E_form (uncorrected): 13.851 kcal/mol of atoms


2.
## ReIr2Se (PBE-GGA)

Data for crystalline ReIr2Se at its relaxed geometry.

Unit cell a=2.750 b=4.540 c=5.026 alpha=90.00 beta=90.00 gamma=90.00
Sites, in units of the cell vectors:
Re  0.000  0.000  0.000
Ir  0.500  0.000  0.481
Ir  0.500  0.500  0.138
Se  0.500  0.500  0.656

Output
SG: No. 25
E_form (uncorrected): 8.031 kcal/mol of atoms


3.
## ReIrSe (PBE-GGA)

Data for crystalline ReIrSe at its relaxed geometry.

Unit cell a=2.972 b=2.972 c=12.625 alpha=90.00 beta=90.00 gamma=120.00
Sites, in units of the cell vectors:
Re  0.000  0.000  0.169
Re  0.000  0.000  0.831
Ir  0.667  0.333  0.000
Ir  0.667  0.333  0.500
Se  0.667  0.333  0.311
Se  0.667  0.333  0.689

Output
SG: No. 187
Offset from the most stable computed form: 0 meV/atom
E_form (uncorrected): 5.623 kcal/mol of atoms


4.
## ReIr2Se (PBE-GGA)

Data for crystalline ReIr2Se at its relaxed geometry.

Unit cell a=2.880 b=2.880 c=7.346 alpha=90.00 beta=90.00 gamma=90.00
Sites, in units of the cell vectors:
Re  0.000  0.000  0.000
Ir  0.000  0.000  0.498
Ir  0.500  0.500  0.763
Se  0.500  0.500  0.242

Output
SG: No. 99
E_form (uncorrected): 8.757 kcal/mol of atoms


5.
## ReIr2Se (PBE-GGA)

Data for crystalline ReIr2Se at its relaxed geometry.

Unit cell a=3.900 b=3.900 c=4.019 alpha=90.00 beta=90.00 gamma=90.00
Sites, in units of the cell vectors:
Re  0.000  0.000  0.000
Ir  0.000  0.500  0.500
Ir  0.500  0.000  0.500
Se  0.500  0.500  0.000

Output
SG: No. 123
E_form (uncorrected): 15.989 kcal/mol of atoms


6.
## Re2IrSe (PBE-GGA)

Data for crystalline Re2IrSe at its relaxed geometry.

Unit cell a=4.448 b=4.448 c=4.448 alpha=60.00 beta=60.00 gamma=60.00
Sites, in units of the cell vectors:
Re  0.000  0.000  0.000
Re  0.250  0.250  0.250
Ir  0.500  0.500  0.500
Se  0.750  0.750  0.750

Output
SG: No. 216
E_form (uncorrected): 18.547 kcal/mol of atoms


7.
## Re2IrSe (PBE-GGA)

Data for crystalline Re2IrSe at its relaxed geometry.

Unit cell a=2.840 b=3.867 c=5.755 alpha=90.00 beta=90.00 gamma=90.00
Sites, in units of the cell vectors:
Re  0.000  0.000  0.000
Re  0.500  0.500  0.215
Ir  0.500  0.500  0.757
Se  0.000  0.000  0.447

Output
SG: No. 25
E_form (uncorrected): 11.030 kcal/mol of atoms


8.
## ReIr4Se (PBE-GGA)

Data for crystalline ReIr4Se at its relaxed geometry.

Unit cell a=5.170 b=5.170 c=5.170 alpha=60.00 beta=60.00 gamma=60.00
Sites, in units of the cell vectors:
Re  0.000  0.000  0.000
Ir  0.375  0.375  0.375
Ir  0.375  0.375  0.876
Ir  0.375  0.876  0.375
Ir  0.876  0.375  0.375
Se  0.750  0.750  0.750

Output
SG: No. 216
E_form (uncorrected): 20.960 kcal/mol of atoms


9.
## Re2IrSe (PBE-GGA)

Data for crystalline Re2IrSe at its relaxed geometry.

Unit cell a=2.884 b=4.065 c=5.359 alpha=90.00 beta=104.73 gamma=90.00
Sites, in units of the cell vectors:
Re  0.130  0.000  0.256
Re  0.870  0.000  0.744
Ir  0.500  0.500  0.000
Se  0.500  0.500  0.500

Output
SG: No. 10
E_form (uncorrected): 10.780 kcal/mol of atoms


10.
## Re2IrSe (PBE-GGA)

Data for crystalline Re2IrSe at its relaxed geometry.

Unit cell a=5.321 b=5.321 c=5.321 alpha=147.65 beta=130.63 gamma=60.27
Sites, in units of the cell vectors:
Re  0.220  0.220  0.000
Re  0.780  0.780  0.000
Ir  0.500  0.000  0.500
Se  0.000  0.500  0.500

Output
SG: No. 71
E_form (uncorrected): 11.885 kcal/mol of atoms


11.
## ReIrSe2 (PBE-GGA)

Data for crystalline ReIrSe2 at its relaxed geometry.

Unit cell a=2.888 b=4.508 c=5.029 alpha=90.00 beta=90.00 gamma=90.00
Sites, in units of the cell vectors:
Re  0.000  0.000  0.000
Ir  0.500  0.000  0.500
Se  0.000  0.500  0.500
Se  0.500  0.500  0.000

Output
SG: No. 47
Offset from the most stable computed form: 726 meV/atom
E_form (uncorrected): 19.782 kcal/mol of atoms


12.
## ReIrSe (PBE-GGA)

Data for crystalline ReIrSe at its relaxed geometry.

Unit cell a=6.095 b=6.095 c=6.095 alpha=152.33 beta=152.33 gamma=39.53
Sites, in units of the cell vectors:
Re  0.000  0.000  0.000
Ir  0.648  0.648  0.000
Se  0.355  0.355  0.000

Output
SG: No. 107
Offset from the most stable computed form: 86 meV/atom
E_form (uncorrected): 7.611 kcal/mol of atoms


13.
## Re2IrSe (PBE-GGA)

Data for crystalline Re2IrSe at its relaxed geometry.

Unit cell a=3.783 b=3.783 c=4.351 alpha=90.00 beta=90.00 gamma=90.00
Sites, in units of the cell vectors:
Re  0.000  0.500  0.000
Re  0.500  0.000  0.000
Ir  0.000  0.000  0.500
Se  0.500  0.500  0.500

Output
SG: No. 123
E_form (uncorrected): 19.283 kcal/mol of atoms


14.
## ReIrSe2 (PBE-GGA)

Data for crystalline ReIrSe2 at its relaxed geometry.

Unit cell a=4.361 b=3.032 c=5.251 alpha=90.00 beta=113.34 gamma=90.00
Sites, in units of the cell vectors:
Re  0.000  0.000  0.000
Ir  0.000  0.500  0.500
Se  0.500  0.000  0.500
Se  0.500  0.500  0.000

Output
SG: No. 10
Offset from the most stable computed form: 362 meV/atom
E_form (uncorrected): 11.378 kcal/mol of atoms


15.
## Th8ReIr3Se4 (PBE-GGA)

Data for crystalline Th8ReIr3Se4 at its relaxed geometry.

Unit cell a=8.769 b=8.769 c=8.769 alpha=56.34 beta=56.34 gamma=56.34
Sites, in units of the cell vectors:
Th  0.238  0.238  0.238
Th  0.243  0.737  0.737
Th  0.263  0.263  0.757
Th  0.263  0.757  0.263
Th  0.737  0.243  0.737
Th  0.737  0.737  0.243
Th  0.757  0.263  0.263
Th  0.762  0.762  0.762
Re  0.500  0.500  0.500
Ir  0.000  0.000  0.500
Ir  0.000  0.500  0.000
Ir  0.500  0.000  0.000
Se  0.000  0.000  0.000
Se  0.000  0.500  0.500
Se  0.500  0.000  0.500
Se  0.500  0.500  0.000

Output
SG: No. 166
E_form (uncorrected): -27.024 kcal/mol of atoms


16.
## Th6ReIr2Se3 (PBE-GGA)

Data for crystalline Th6ReIr2Se3 at its relaxed geometry.

Unit cell a=9.698 b=9.698 c=8.771 alpha=107.46 beta=107.46 gamma=24.67
Sites, in units of the cell vectors:
Th  0.006  0.006  0.227
Th  0.326  0.326  0.436
Th  0.343  0.343  0.901
Th  0.657  0.657  0.099
Th  0.674  0.674  0.564
Th  0.994  0.994  0.773
Re  0.500  0.500  0.000
Ir  0.168  0.168  0.336
Ir  0.832  0.832  0.664
Se  0.167  0.167  0.832
Se  0.500  0.500  0.500
Se  0.833  0.833  0.168

Output
SG: No. 12
E_form (uncorrected): -25.699 kcal/mol of atoms


17.
## ReSiIr (PBE-GGA)

Data for crystalline ReSiIr at its relaxed geometry.

Unit cell a=4.027 b=4.027 c=4.027 alpha=60.00 beta=60.00 gamma=60.00
Sites, in units of the cell vectors:
Re  0.000  0.000  0.000
Si  0.750  0.750  0.750
Ir  0.500  0.500  0.500

Output
SG: No. 216
Offset from the most stable computed form: 233 meV/atom
E_form (uncorrected): 0.671 kcal/mol of atoms


18.
## Re2SiIr (PBE-GGA)

Data for crystalline Re2SiIr at its relaxed geometry.

Unit cell a=4.688 b=4.688 c=4.688 alpha=131.15 beta=131.15 gamma=71.58
Sites, in units of the cell vectors:
Re  0.000  0.000  0.000
Re  0.750  0.250  0.500
Si  0.250  0.750  0.500
Ir  0.500  0.500  0.000

Output
SG: No. 119
E_form (uncorrected): 0.722 kcal/mol of atoms


19.
## ReSiIr (PBE-GGA)

Data for crystalline ReSiIr at its relaxed geometry.

Unit cell a=2.788 b=2.788 c=6.229 alpha=90.00 beta=90.00 gamma=120.00
Sites, in units of the cell vectors:
Re  0.000  0.000  0.000
Si  0.667  0.333  0.327
Ir  0.333  0.667  0.639

Output
SG: No. 156
Offset from the most stable computed form: 0 meV/atom
E_form (uncorrected): -4.704 kcal/mol of atoms


20.
## ReSiIr3 (PBE-GGA)

Data for crystalline ReSiIr3 at its relaxed geometry.

Unit cell a=4.394 b=4.394 c=4.394 alpha=90.00 beta=90.00 gamma=90.00
Sites, in units of the cell vectors:
Re  0.000  0.000  0.000
Si  0.500  0.500  0.500
Ir  0.000  0.500  0.500
Ir  0.500  0.000  0.500
Ir  0.500  0.500  0.000

Output
SG: No. 221
Offset from the most stable computed form: 0 meV/atom
E_form (uncorrected): 26.581 kcal/mol of atoms